! AcP2PbO6 PBE-GGA relaxed; values from VASP
! Fermi-level density of states = 2.84 states/eV/f.u.
! ΔE_f (raw) = -2.068 eV per atom
! Total DFT energy (no corrections) = -0.254 Ha/atom
! Theoretical density = 5.7 Mg/m³
&SYSTEM
  ibrav = 0, nat = 10, ntyp = 4
/
ATOMIC_SPECIES
Ac 227.00 Ac.upf
P 30.97 P.upf
Pb 207.20 Pb.upf
O 16.00 O.upf
ATOMIC_POSITIONS crystal
Ac 0.500 0.500 0.500
P 0.769 0.769 0.692
P 0.231 0.231 0.308
Pb 0.000 0.000 0.000
O 0.036 0.490 0.768
O 0.706 0.036 0.768
O 0.510 0.294 0.232
O 0.964 0.510 0.232
O 0.294 0.964 0.232
O 0.490 0.706 0.768
CELL_PARAMETERS angstrom
-2.212 -3.871 -3.095
2.051 -5.024 0.060
-4.226 -4.608 4.027

---

! Pr2Cd3Rh4 PBE-GGA relaxed; values from VASP
! Fermi-level density of states = 4.74 states/eV/f.u.
! Total DFT energy (no corrections) = -0.185 Ha/atom
! Theoretical density = 9.2 Mg/m³
&SYSTEM
  ibrav = 0, nat = 18, ntyp = 3
/
ATOMIC_SPECIES
Pr 140.91 Pr.upf
Cd 112.41 Cd.upf
Rh 102.91 Rh.upf
ATOMIC_POSITIONS crystal
Pr 0.100 0.588 0.200
Pr 0.900 0.412 0.800
Pr 0.400 0.088 0.800
Pr 0.600 0.912 0.200
Cd 0.000 0.000 0.000
Cd 0.500 0.500 0.000
Cd 0.510 0.750 0.520
Cd 0.990 0.250 0.480
Cd 0.490 0.250 0.480
Cd 0.010 0.750 0.520
Rh 0.670 0.750 0.840
Rh 0.830 0.250 0.160
Rh 0.330 0.250 0.160
Rh 0.170 0.750 0.840
Rh 0.158 0.981 0.316
Rh 0.842 0.019 0.684
Rh 0.342 0.481 0.684
Rh 0.658 0.519 0.316
CELL_PARAMETERS angstrom
5.845 0.000 0.000
0.000 7.239 0.000
-2.923 0.000 8.792

---

! LaSm5YEr2 PBE-GGA relaxed; values from VASP
! Fermi-level density of states = 14.60 states/eV/f.u.
! Total DFT energy (no corrections) = -0.174 Ha/atom
! Theoretical density = 7.2 Mg/m³
&SYSTEM
  ibrav = 0, nat = 18, ntyp = 4
/
ATOMIC_SPECIES
La 138.91 La.upf
Sm 150.36 Sm.upf
Y 88.91 Y.upf
Er 167.26 Er.upf
ATOMIC_POSITIONS crystal
La 0.583 0.166 0.951
La 0.417 0.834 0.451
Sm 0.386 0.773 0.023
Sm 0.719 0.437 0.813
Sm 0.480 0.959 0.740
Sm 0.297 0.594 0.708
Sm 0.983 0.965 0.524
Sm 0.614 0.227 0.523
Sm 0.281 0.563 0.313
Sm 0.520 0.041 0.240
Sm 0.703 0.406 0.208
Sm 0.017 0.035 0.024
Y 0.800 0.600 0.512
Y 0.200 0.400 0.012
Er 0.885 0.769 0.820
Er 0.113 0.226 0.733
Er 0.115 0.231 0.320
Er 0.887 0.774 0.233
CELL_PARAMETERS angstrom
-0.258 -3.832 -4.191
9.143 -1.639 4.791
-4.704 -6.913 6.611

---

! ZrScIr PBE-GGA relaxed; values from VASP
! Fermi-level density of states = 2.73 states/eV/f.u.
! E above lowest polymorph = 0.00 kJ/mol of atoms
! Total DFT energy (no corrections) = -0.315 Ha/atom
! Theoretical density = 9.0 Mg/m³
&SYSTEM
  ibrav = 0, nat = 18, ntyp = 3
/
ATOMIC_SPECIES
Zr 91.22 Zr.upf
Sc 44.96 Sc.upf
Ir 192.22 Ir.upf
ATOMIC_POSITIONS crystal
Zr 0.142 0.029 0.529
Zr 0.700 0.971 0.471
Zr 0.329 0.762 0.262
Zr 0.354 0.238 0.738
Zr 0.749 0.453 0.953
Zr 0.154 0.547 0.047
Sc 0.011 0.000 0.000
Sc 0.011 0.500 0.500
Sc 0.760 0.383 0.356
Sc 0.498 0.617 0.644
Sc 0.498 0.144 0.117
Sc 0.760 0.856 0.883
Ir 0.771 0.237 0.737
Ir 0.745 0.763 0.263
Ir 0.106 0.196 0.130
Ir 0.432 0.804 0.870
Ir 0.432 0.370 0.304
Ir 0.106 0.630 0.696
CELL_PARAMETERS angstrom
7.053 0.000 3.218
2.543 6.749 3.764
0.567 0.564 8.096

---

! TlInH4 PBE-GGA relaxed; values from VASP
! Fermi-level density of states = 0.00 states/eV/f.u.
! Total DFT energy (no corrections) = -0.105 Ha/atom
! Theoretical density = 5.1 Mg/m³
&SYSTEM
  ibrav = 0, nat = 12, ntyp = 3
/
ATOMIC_SPECIES
Tl 204.38 Tl.upf
In 114.82 In.upf
H 1.01 H.upf
ATOMIC_POSITIONS crystal
Tl 0.375 0.125 0.250
Tl 0.625 0.875 0.750
In 0.875 0.625 0.250
In 0.125 0.375 0.750
H 0.275 0.712 0.051
H 0.275 0.338 0.051
H 0.838 0.775 0.551
H 0.212 0.775 0.551
H 0.725 0.288 0.949
H 0.725 0.662 0.949
H 0.162 0.225 0.449
H 0.788 0.225 0.449
CELL_PARAMETERS angstrom
-3.155 -4.521 -5.278
6.932 -1.632 -2.746
-1.653 0.270 6.275

---

! FeReHg2W PBE-GGA relaxed; values from VASP
! Fermi-level density of states = 6.28 states/eV/f.u.
! Total DFT energy (no corrections) = -0.184 Ha/atom
! Theoretical density = 10.5 Mg/m³
&SYSTEM
  ibrav = 0, nat = 5, ntyp = 4
/
ATOMIC_SPECIES
Re 186.21 Re.upf
Hg 200.59 Hg.upf
W 183.84 W.upf
Fe 55.84 Fe.upf
ATOMIC_POSITIONS crystal
Re 0.000 0.000 0.000
Hg 0.000 0.000 0.500
Hg 0.500 0.000 0.000
W 0.000 0.500 0.000
Fe 0.500 0.500 0.500
CELL_PARAMETERS angstrom
5.220 0.000 0.000
0.000 4.790 0.000
0.000 0.000 5.220

---

! CdCoBr2 PBE-GGA relaxed; values from VASP
! Fermi-level density of states = 4.05 states/eV/f.u.
! ΔE_f (raw) = 0.628 eV per atom
! E above lowest polymorph = 72.68 kJ/mol of atoms
! Total DFT energy (no corrections) = -0.081 Ha/atom
! Theoretical density = 5.9 Mg/m³
&SYSTEM
  ibrav = 0, nat = 4, ntyp = 3
/
ATOMIC_SPECIES
Br 79.90 Br.upf
Cd 112.41 Cd.upf
Co 58.93 Co.upf
ATOMIC_POSITIONS crystal
Br 0.000 0.000 0.000
Br 0.250 0.250 0.250
Cd 0.500 0.500 0.500
Co 0.750 0.750 0.750
CELL_PARAMETERS angstrom
-1.485 4.622 1.567
-4.807 1.529 -0.762
-3.192 0.449 3.955

---

! MgScAl PBE-GGA relaxed; values from VASP
! Fermi-level density of states = 1.66 states/eV/f.u.
! Total DFT energy (no corrections) = -0.150 Ha/atom
! Theoretical density = 2.5 Mg/m³
&SYSTEM
  ibrav = 0, nat = 6, ntyp = 3
/
ATOMIC_SPECIES
Sc 44.96 Sc.upf
Mg 24.30 Mg.upf
Al 26.98 Al.upf
ATOMIC_POSITIONS crystal
Sc 0.067 0.914 0.050
Sc 0.402 0.745 0.550
Mg 0.689 0.102 0.550
Mg 0.780 0.557 0.050
Al 0.372 0.259 0.050
Al 0.097 0.399 0.550
CELL_PARAMETERS angstrom
8.059 -0.003 0.003
1.419 4.571 0.000
0.000 0.000 3.415

---

! Hf2Sn2Br PBE-GGA relaxed; values from VASP
! Fermi-level density of states = 2.71 states/eV/f.u.
! ΔE_f (raw) = -0.216 eV per atom
! E above lowest polymorph = 0.00 kJ/mol of atoms
! Total DFT energy (no corrections) = -0.225 Ha/atom
! Theoretical density = 9.5 Mg/m³
&SYSTEM
  ibrav = 0, nat = 10, ntyp = 3
/
ATOMIC_SPECIES
Hf 178.49 Hf.upf
Sn 118.71 Sn.upf
Br 79.90 Br.upf
ATOMIC_POSITIONS crystal
Hf 0.336 0.836 0.000
Hf 0.836 0.664 0.000
Hf 0.664 0.164 0.000
Hf 0.164 0.336 0.000
Sn 0.134 0.634 0.500
Sn 0.634 0.866 0.500
Sn 0.866 0.366 0.500
Sn 0.366 0.134 0.500
Br 0.000 0.000 0.000
Br 0.500 0.500 0.000
CELL_PARAMETERS angstrom
-5.923 -3.850 -3.555
1.218 -6.229 4.717
-2.436 1.427 2.513

---

! MnVCr3 PBE-GGA relaxed; values from VASP
! Fermi-level density of states = 6.74 states/eV/f.u.
! E above lowest polymorph = 38.36 kJ/mol of atoms
! Total DFT energy (no corrections) = -0.324 Ha/atom
! Theoretical density = 6.7 Mg/m³
&SYSTEM
  ibrav = 0, nat = 10, ntyp = 3
/
ATOMIC_SPECIES
Mn 54.94 Mn.upf
V 50.94 V.upf
Cr 52.00 Cr.upf
ATOMIC_POSITIONS crystal
Mn 0.088 0.088 0.088
Mn 0.912 0.912 0.912
V 0.410 0.410 0.410
V 0.590 0.590 0.590
Cr 0.233 0.015 0.502
Cr 0.502 0.233 0.015
Cr 0.015 0.502 0.233
Cr 0.767 0.985 0.498
Cr 0.985 0.498 0.767
Cr 0.498 0.767 0.985
CELL_PARAMETERS angstrom
5.452 -0.176 -0.126
2.407 4.895 -0.126
2.407 1.445 4.678

---

! BeTcIr2 PBE-GGA relaxed; values from VASP
! Fermi-level density of states = 3.69 states/eV/f.u.
! Total DFT energy (no corrections) = -0.296 Ha/atom
! Theoretical density = 15.1 Mg/m³
&SYSTEM
  ibrav = 0, nat = 4, ntyp = 3
/
ATOMIC_SPECIES
Be 9.01 Be.upf
Ir 192.22 Ir.upf
Tc 98.00 Tc.upf
ATOMIC_POSITIONS crystal
Be 0.750 0.250 0.500
Ir 0.000 0.000 0.000
Ir 0.500 0.500 0.000
Tc 0.250 0.750 0.500
CELL_PARAMETERS angstrom
4.599 -0.029 0.000
1.486 4.353 0.000
-3.043 -2.162 2.688

---

! K2CeAgCl8 PBE-GGA relaxed; values from VASP
! Fermi-level density of states = 2.26 states/eV/f.u.
! ΔE_f (raw) = -1.556 eV per atom
! Total DFT energy (no corrections) = -0.136 Ha/atom
! Theoretical density = 2.4 Mg/m³
&SYSTEM
  ibrav = 0, nat = 12, ntyp = 4
/
ATOMIC_SPECIES
K 39.10 K.upf
Ce 140.12 Ce.upf
Ag 107.87 Ag.upf
Cl 35.45 Cl.upf
ATOMIC_POSITIONS crystal
K 0.344 0.585 0.782
K 0.656 0.415 0.218
Ce 0.000 0.000 0.000
Ag 0.000 0.000 0.500
Cl 0.097 0.748 0.117
Cl 0.640 0.769 0.039
Cl 0.935 0.183 0.299
Cl 0.903 0.252 0.883
Cl 0.360 0.231 0.961
Cl 0.065 0.817 0.701
Cl 0.684 0.753 0.500
Cl 0.316 0.247 0.500
CELL_PARAMETERS angstrom
-6.372 1.910 -3.587
5.332 -1.933 -4.754
-4.334 -7.265 0.090